Entry 1:
CdFeP2: optimized geometry, PBE-GGA.

## Properties
The value obtained for the energy relative to the elements is 0.4 eV per formula unit. As for the electronic total energy: -4.94 eV/atom.

Cell lengths 2.720, 3.493, 7.133 Å; angles 90.00, 90.00, 90.00 degrees
Positions (direct):
Fe (0.500, 0.500, 0.937)
P (0.500, 0.500, 0.234)
P (0.000, 0.000, 0.848)
Cd (0.000, 0.000, 0.481)

Entry 2:
Cd2FeP: optimized geometry, PBE-GGA.

## Properties
The value obtained for the energy relative to the elements is 0.5 eV per formula unit. As for the electronic total energy: -3.80 eV/atom.

Cell lengths 6.146, 6.146, 6.146 Å; angles 152.61, 135.94, 52.66 degrees
Site moments in Bohr magnetons follow the coordinates.
Positions (direct):
Fe (0.474, 0.474, 0.000)  1.39
Cd (0.695, 0.195, 0.500)  -0.01
Cd (0.005, 0.005, 0.000)  -0.04
P (0.326, 0.826, 0.500)  -0.04

Entry 3:
CdFeP2: optimized geometry, PBE-GGA.

## Properties
The value obtained for the energy relative to the elements is 2.9 eV per formula unit. As for the electronic total energy: -4.33 eV/atom.

Cell lengths 4.493, 4.493, 4.493 Å; angles 60.00, 60.00, 60.00 degrees
Site moments in Bohr magnetons follow the coordinates.
Positions (direct):
Cd (0.500, 0.500, 0.500)  -0.01
P (0.000, 0.000, 0.000)  -0.04
P (0.250, 0.250, 0.250)  0.00
Fe (0.750, 0.750, 0.750)  2.63

Entry 4:
Cd2FeP: optimized geometry, PBE-GGA.

## Properties
The value obtained for the energy relative to the elements is 0.0 eV per formula unit. As for the electronic total energy: -3.91 eV/atom.

Cell lengths 7.346, 7.346, 3.621 Å; angles 75.77, 75.77, 21.74 degrees
Site moments in Bohr magnetons follow the coordinates.
Positions (direct):
Cd (0.927, 0.927, 0.073)  -0.01
Cd (0.573, 0.573, 0.427)  -0.01
Fe (0.250, 0.250, 0.250)  1.35
P (0.750, 0.750, 0.750)  0.01

Entry 5:
CdFe3P: optimized geometry, PBE-GGA.

## Properties
The value obtained for the energy relative to the elements is 9.0 eV per formula unit. As for the electronic total energy: -4.55 eV/atom. For the offset from the most stable computed form, the calculation gives 1615 meV per atom.

Cell lengths 4.729, 4.729, 4.729 Å; angles 90.00, 90.00, 90.00 degrees
Site moments in Bohr magnetons follow the coordinates.
Positions (direct):
Cd (0.000, 0.000, 0.000)  -0.08
Fe (0.000, 0.500, 0.000)  3.00
Fe (0.500, 0.000, 0.000)  2.64
Fe (0.000, 0.000, 0.500)  3.34
P (0.500, 0.500, 0.500)  0.01

Entry 6:
CdFe3P: optimized geometry, PBE-GGA.

## Properties
The value obtained for the energy relative to the elements is 0.9 eV per formula unit. As for the electronic total energy: -6.16 eV/atom. For the offset from the most stable computed form, the calculation gives 0 meV per atom.

Cell lengths 4.206, 4.206, 4.206 Å; angles 90.00, 90.00, 90.00 degrees
Site moments in Bohr magnetons follow the coordinates.
Positions (direct):
Cd (0.500, 0.500, 0.500)  -0.07
Fe (0.000, 0.000, 0.500)  1.90
Fe (0.500, 0.000, 0.000)  2.00
Fe (0.000, 0.500, 0.000)  1.95
P (0.000, 0.000, 0.000)  -0.08

> Which of these has the lowest electronic total energy?

number 6